(1)
# LiCa2Sb, relaxed, DFT PBE-GGA
data_LiCa2Sb
_cell_length_a 11.290
_cell_length_b 11.290
_cell_length_c 11.290
_cell_angle_alpha 154.59
_cell_angle_beta 154.59
_cell_angle_gamma 36.24
_symmetry_space_group_name_H-M 'P 1'
_symmetry_Int_Tables_number 1
_symmetry_space_group_name_Hall 'P 1'
loop_
_atom_site_label
_atom_site_type_symbol
_atom_site_fract_x
_atom_site_fract_y
_atom_site_fract_z
Li1 Li 0.000 0.000 0.000
Li2 Li 0.750 0.250 0.500
Ca1 Ca 0.143 0.625 0.018
Ca2 Ca 0.375 0.393 0.518
Ca3 Ca 0.607 0.125 0.982
Ca4 Ca 0.875 0.857 0.482
Sb1 Sb 0.250 0.750 0.500
Sb2 Sb 0.500 0.500 0.000
# Crystal system: tetragonal
# M_tot (Bohr magnetons per cell): 0.0
# Formation energy (no corrections) (eV/atom): -0.148
# VASP energy (eV/atom): -2.658

---

(2)
# Li2CaSb, relaxed, DFT PBE-GGA
data_Li2CaSb
_cell_length_a 6.378
_cell_length_b 6.378
_cell_length_c 3.440
_cell_angle_alpha 104.96
_cell_angle_beta 104.96
_cell_angle_gamma 120.61
_symmetry_space_group_name_H-M 'P 1'
_symmetry_Int_Tables_number 1
_symmetry_space_group_name_Hall 'P 1'
loop_
_atom_site_label
_atom_site_type_symbol
_atom_site_fract_x
_atom_site_fract_y
_atom_site_fract_z
Li1 Li 0.000 0.500 0.000
Li2 Li 0.500 0.000 0.000
Ca1 Ca 0.000 0.000 0.500
Sb1 Sb 0.500 0.500 0.500
# Crystal system: monoclinic
# M_tot (Bohr magnetons per cell): 0.0
# Formation energy (no corrections) (eV/atom): -0.288
# VASP energy (eV/atom): -2.776

---

(3)
# Li2CaSb, relaxed, DFT PBE-GGA
data_Li2CaSb
_cell_length_a 3.758
_cell_length_b 3.758
_cell_length_c 7.215
_cell_angle_alpha 90.00
_cell_angle_beta 90.00
_cell_angle_gamma 90.00
_symmetry_space_group_name_H-M 'P 1'
_symmetry_Int_Tables_number 1
_symmetry_space_group_name_Hall 'P 1'
loop_
_atom_site_label
_atom_site_type_symbol
_atom_site_fract_x
_atom_site_fract_y
_atom_site_fract_z
Li1 Li 0.000 0.000 0.000
Li2 Li 0.500 0.500 0.204
Ca1 Ca 0.500 0.500 0.663
Sb1 Sb 0.000 0.000 0.393
# Crystal system: tetragonal
# M_tot (Bohr magnetons per cell): 0.0
# Formation energy (no corrections) (eV/atom): -0.380
# VASP energy (eV/atom): -2.868

---

(4)
# LiCa2Sb, relaxed, DFT PBE-GGA
data_LiCa2Sb
_cell_length_a 4.681
_cell_length_b 4.681
_cell_length_c 8.172
_cell_angle_alpha 106.50
_cell_angle_beta 106.50
_cell_angle_gamma 59.86
_symmetry_space_group_name_H-M 'P 1'
_symmetry_Int_Tables_number 1
_symmetry_space_group_name_Hall 'P 1'
loop_
_atom_site_label
_atom_site_type_symbol
_atom_site_fract_x
_atom_site_fract_y
_atom_site_fract_z
Li1 Li 0.000 0.000 0.000
Ca1 Ca 0.233 0.233 0.700
Ca2 Ca 0.767 0.767 0.300
Sb1 Sb 0.500 0.500 0.500
# Crystal system: monoclinic
# M_tot (Bohr magnetons per cell): 0.0
# Formation energy (no corrections) (eV/atom): -0.402
# VASP energy (eV/atom): -2.912

---

(5)
# LiCaSb, relaxed, DFT PBE-GGA
data_LiCaSb
_cell_length_a 4.591
_cell_length_b 4.591
_cell_length_c 4.299
_cell_angle_alpha 90.00
_cell_angle_beta 90.00
_cell_angle_gamma 120.00
_symmetry_space_group_name_H-M 'P 1'
_symmetry_Int_Tables_number 1
_symmetry_space_group_name_Hall 'P 1'
loop_
_atom_site_label
_atom_site_type_symbol
_atom_site_fract_x
_atom_site_fract_y
_atom_site_fract_z
Li1 Li 0.000 0.000 0.000
Ca1 Ca 0.333 0.667 0.500
Sb1 Sb 0.667 0.333 0.000
# Crystal system: hexagonal
# M_tot (Bohr magnetons per cell): 0.0
# Formation energy (no corrections) (eV/atom): -0.783
# VASP energy (eV/atom): -3.462

---

(6)
# LiCaSb, relaxed, DFT PBE-GGA
data_LiCaSb
_cell_length_a 5.321
_cell_length_b 5.321
_cell_length_c 5.321
_cell_angle_alpha 132.51
_cell_angle_beta 132.51
_cell_angle_gamma 69.42
_symmetry_space_group_name_H-M 'P 1'
_symmetry_Int_Tables_number 1
_symmetry_space_group_name_Hall 'P 1'
loop_
_atom_site_label
_atom_site_type_symbol
_atom_site_fract_x
_atom_site_fract_y
_atom_site_fract_z
Li1 Li 0.000 0.000 0.000
Ca1 Ca 0.676 0.676 0.000
Sb1 Sb 0.320 0.320 0.000
# Crystal system: tetragonal
# M_tot (Bohr magnetons per cell): 0.0
# Formation energy (no corrections) (eV/atom): -0.617
# VASP energy (eV/atom): -3.296

---

(7)
# Li2CaSb, relaxed, DFT PBE-GGA
data_Li2CaSb
_cell_length_a 5.595
_cell_length_b 5.595
_cell_length_c 5.595
_cell_angle_alpha 131.87
_cell_angle_beta 131.87
_cell_angle_gamma 70.43
_symmetry_space_group_name_H-M 'P 1'
_symmetry_Int_Tables_number 1
_symmetry_space_group_name_Hall 'P 1'
loop_
_atom_site_label
_atom_site_type_symbol
_atom_site_fract_x
_atom_site_fract_y
_atom_site_fract_z
Li1 Li 0.250 0.750 0.500
Li2 Li 0.750 0.250 0.500
Ca1 Ca 0.000 0.000 0.000
Sb1 Sb 0.500 0.500 0.000
# Crystal system: tetragonal
# M_tot (Bohr magnetons per cell): 0.0
# Formation energy (no corrections) (eV/atom): -0.464
# VASP energy (eV/atom): -2.952

---

(8)
# LiCa2Sb, relaxed, DFT PBE-GGA
data_LiCa2Sb
_cell_length_a 5.431
_cell_length_b 5.431
_cell_length_c 5.431
_cell_angle_alpha 60.00
_cell_angle_beta 60.00
_cell_angle_gamma 60.00
_symmetry_space_group_name_H-M 'P 1'
_symmetry_Int_Tables_number 1
_symmetry_space_group_name_Hall 'P 1'
loop_
_atom_site_label
_atom_site_type_symbol
_atom_site_fract_x
_atom_site_fract_y
_atom_site_fract_z
Li1 Li 0.000 0.000 0.000
Ca1 Ca 0.500 0.500 0.500
Ca2 Ca 0.750 0.750 0.750
Sb1 Sb 0.250 0.250 0.250
# Crystal system: cubic
# M_tot (Bohr magnetons per cell): 0.0
# Formation energy (no corrections) (eV/atom): -0.291
# VASP energy (eV/atom): -2.801

---

(9)
# LiCa2Sb, relaxed, DFT PBE-GGA
data_LiCa2Sb
_cell_length_a 4.230
_cell_length_b 4.349
_cell_length_c 6.634
_cell_angle_alpha 90.00
_cell_angle_beta 90.00
_cell_angle_gamma 90.00
_symmetry_space_group_name_H-M 'P 1'
_symmetry_Int_Tables_number 1
_symmetry_space_group_name_Hall 'P 1'
loop_
_atom_site_label
_atom_site_type_symbol
_atom_site_fract_x
_atom_site_fract_y
_atom_site_fract_z
Li1 Li 0.000 0.000 0.000
Ca1 Ca 0.000 0.000 0.431
Ca2 Ca 0.500 0.500 0.776
Sb1 Sb 0.500 0.500 0.257
# Crystal system: orthorhombic
# M_tot (Bohr magnetons per cell): 0.0
# Formation energy (no corrections) (eV/atom): -0.415
# VASP energy (eV/atom): -2.925

---

(10)
# Li2CaSb, relaxed, DFT PBE-GGA
data_Li2CaSb
_cell_length_a 4.754
_cell_length_b 4.754
_cell_length_c 5.432
_cell_angle_alpha 107.60
_cell_angle_beta 107.60
_cell_angle_gamma 55.00
_symmetry_space_group_name_H-M 'P 1'
_symmetry_Int_Tables_number 1
_symmetry_space_group_name_Hall 'P 1'
loop_
_atom_site_label
_atom_site_type_symbol
_atom_site_fract_x
_atom_site_fract_y
_atom_site_fract_z
Li1 Li 0.212 0.212 0.138
Li2 Li 0.788 0.788 0.862
Ca1 Ca 0.000 0.000 0.500
Sb1 Sb 0.500 0.500 0.000
# Crystal system: monoclinic
# M_tot (Bohr magnetons per cell): 0.0
# Formation energy (no corrections) (eV/atom): -0.507
# VASP energy (eV/atom): -2.995

---

(11)
# Li3CaSb, relaxed, DFT PBE-GGA
data_Li3CaSb
_cell_length_a 5.181
_cell_length_b 5.181
_cell_length_c 5.181
_cell_angle_alpha 90.00
_cell_angle_beta 90.00
_cell_angle_gamma 90.00
_symmetry_space_group_name_H-M 'P 1'
_symmetry_Int_Tables_number 1
_symmetry_space_group_name_Hall 'P 1'
loop_
_atom_site_label
_atom_site_type_symbol
_atom_site_fract_x
_atom_site_fract_y
_atom_site_fract_z
Li1 Li 0.000 0.000 0.500
Li2 Li 0.000 0.500 0.000
Li3 Li 0.500 0.000 0.000
Ca1 Ca 0.500 0.500 0.500
Sb1 Sb 0.000 0.000 0.000
# Crystal system: cubic
# Energy above the lowest structure with this stoichiometry (meV per atom): 211
# M_tot (Bohr magnetons per cell): 0.0
# Formation energy (no corrections) (eV/atom): -0.223
# VASP energy (eV/atom): -2.596

---

(12)
# Li2Ca2Sb, relaxed, DFT PBE-GGA
data_Li2Ca2Sb
_cell_length_a 9.964
_cell_length_b 9.964
_cell_length_c 9.964
_cell_angle_alpha 157.11
_cell_angle_beta 157.11
_cell_angle_gamma 32.60
_symmetry_space_group_name_H-M 'P 1'
_symmetry_Int_Tables_number 1
_symmetry_space_group_name_Hall 'P 1'
loop_
_atom_site_label
_atom_site_type_symbol
_atom_site_fract_x
_atom_site_fract_y
_atom_site_fract_z
Li1 Li 0.250 0.750 0.500
Li2 Li 0.750 0.250 0.500
Ca1 Ca 0.090 0.090 0.000
Ca2 Ca 0.910 0.910 0.000
Sb1 Sb 0.500 0.500 0.000
# Crystal system: tetragonal
# Energy above the lowest structure with this stoichiometry (meV per atom): 103
# M_tot (Bohr magnetons per cell): 0.0
# Formation energy (no corrections) (eV/atom): -0.296
# VASP energy (eV/atom): -2.687

---

(13)
# Li2CaSb, relaxed, DFT PBE-GGA
data_Li2CaSb
_cell_length_a 10.151
_cell_length_b 10.151
_cell_length_c 10.151
_cell_angle_alpha 20.06
_cell_angle_beta 20.06
_cell_angle_gamma 20.06
_symmetry_space_group_name_H-M 'P 1'
_symmetry_Int_Tables_number 1
_symmetry_space_group_name_Hall 'P 1'
loop_
_atom_site_label
_atom_site_type_symbol
_atom_site_fract_x
_atom_site_fract_y
_atom_site_fract_z
Li1 Li 0.000 0.000 0.000
Li2 Li 0.249 0.249 0.249
Ca1 Ca 0.491 0.491 0.491
Sb1 Sb 0.737 0.737 0.737
# Crystal system: trigonal
# M_tot (Bohr magnetons per cell): 0.0
# Formation energy (no corrections) (eV/atom): -0.168
# VASP energy (eV/atom): -2.656

---

(14)
# LiCa4Sb, relaxed, DFT PBE-GGA
data_LiCa4Sb
_cell_length_a 6.773
_cell_length_b 6.773
_cell_length_c 6.773
_cell_angle_alpha 60.00
_cell_angle_beta 60.00
_cell_angle_gamma 60.00
_symmetry_space_group_name_H-M 'P 1'
_symmetry_Int_Tables_number 1
_symmetry_space_group_name_Hall 'P 1'
loop_
_atom_site_label
_atom_site_type_symbol
_atom_site_fract_x
_atom_site_fract_y
_atom_site_fract_z
Li1 Li 0.000 0.000 0.000
Ca1 Ca 0.376 0.376 0.376
Ca2 Ca 0.376 0.376 0.872
Ca3 Ca 0.376 0.872 0.376
Ca4 Ca 0.872 0.376 0.376
Sb1 Sb 0.750 0.750 0.750
# Crystal system: cubic
# M_tot (Bohr magnetons per cell): 0.0
# Formation energy (no corrections) (eV/atom): 0.159
# VASP energy (eV/atom): -2.181

---

(15)
# Li2Ca2Sb, relaxed, DFT PBE-GGA
data_Li2Ca2Sb
_cell_length_a 8.125
_cell_length_b 8.125
_cell_length_c 5.170
_cell_angle_alpha 90.00
_cell_angle_beta 90.00
_cell_angle_gamma 90.00
_symmetry_space_group_name_H-M 'P 1'
_symmetry_Int_Tables_number 1
_symmetry_space_group_name_Hall 'P 1'
loop_
_atom_site_label
_atom_site_type_symbol
_atom_site_fract_x
_atom_site_fract_y
_atom_site_fract_z
Li1 Li 0.138 0.362 0.000
Li2 Li 0.362 0.862 0.000
Li3 Li 0.638 0.138 0.000
Li4 Li 0.862 0.638 0.000
Ca1 Ca 0.161 0.661 0.500
Ca2 Ca 0.339 0.161 0.500
Ca3 Ca 0.661 0.839 0.500
Ca4 Ca 0.839 0.339 0.500
Sb1 Sb 0.000 0.000 0.500
Sb2 Sb 0.500 0.500 0.500
# Crystal system: tetragonal
# Energy above the lowest structure with this stoichiometry (meV per atom): 263
# M_tot (Bohr magnetons per cell): 0.0
# Formation energy (no corrections) (eV/atom): -0.136
# VASP energy (eV/atom): -2.527

---

(16)
# Li2CaSb, relaxed, DFT PBE-GGA
data_Li2CaSb
_cell_length_a 5.957
_cell_length_b 5.957
_cell_length_c 5.957
_cell_angle_alpha 45.95
_cell_angle_beta 45.95
_cell_angle_gamma 45.95
_symmetry_space_group_name_H-M 'P 1'
_symmetry_Int_Tables_number 1
_symmetry_space_group_name_Hall 'P 1'
loop_
_atom_site_label
_atom_site_type_symbol
_atom_site_fract_x
_atom_site_fract_y
_atom_site_fract_z
Li1 Li 0.000 0.000 0.000
Li2 Li 0.282 0.282 0.282
Ca1 Ca 0.802 0.802 0.802
Sb1 Sb 0.593 0.593 0.593
# Crystal system: trigonal
# M_tot (Bohr magnetons per cell): 0.8
# Formation energy (no corrections) (eV/atom): -0.575
# VASP energy (eV/atom): -3.063

---

(17)
# Li2Ca2Sb, relaxed, DFT PBE-GGA
data_Li2Ca2Sb
_cell_length_a 7.325
_cell_length_b 7.325
_cell_length_c 4.835
_cell_angle_alpha 90.00
_cell_angle_beta 90.00
_cell_angle_gamma 90.00
_symmetry_space_group_name_H-M 'P 1'
_symmetry_Int_Tables_number 1
_symmetry_space_group_name_Hall 'P 1'
loop_
_atom_site_label
_atom_site_type_symbol
_atom_site_fract_x
_atom_site_fract_y
_atom_site_fract_z
Li1 Li 0.130 0.370 0.000
Li2 Li 0.370 0.870 0.000
Li3 Li 0.630 0.130 0.000
Li4 Li 0.870 0.630 0.000
Ca1 Ca 0.186 0.686 0.500
Ca2 Ca 0.314 0.186 0.500
Ca3 Ca 0.686 0.814 0.500
Ca4 Ca 0.814 0.314 0.500
Sb1 Sb 0.000 0.000 0.000
Sb2 Sb 0.500 0.500 0.000
# Crystal system: tetragonal
# Energy above the lowest structure with this stoichiometry (meV per atom): 0
# M_tot (Bohr magnetons per cell): 0.2
# Formation energy (no corrections) (eV/atom): -0.400
# VASP energy (eV/atom): -2.791

---

(18)
# LiCa2Sb, relaxed, DFT PBE-GGA
data_LiCa2Sb
_cell_length_a 6.272
_cell_length_b 6.272
_cell_length_c 6.272
_cell_angle_alpha 136.61
_cell_angle_beta 136.61
_cell_angle_gamma 63.04
_symmetry_space_group_name_H-M 'P 1'
_symmetry_Int_Tables_number 1
_symmetry_space_group_name_Hall 'P 1'
loop_
_atom_site_label
_atom_site_type_symbol
_atom_site_fract_x
_atom_site_fract_y
_atom_site_fract_z
Li1 Li 0.000 0.000 0.000
Ca1 Ca 0.500 0.500 0.000
Ca2 Ca 0.750 0.250 0.500
Sb1 Sb 0.250 0.750 0.500
# Crystal system: tetragonal
# M_tot (Bohr magnetons per cell): 0.0
# Formation energy (no corrections) (eV/atom): -0.429
# VASP energy (eV/atom): -2.939

---

(19)
# LiCaSb4, relaxed, DFT PBE-GGA
data_LiCaSb4
_cell_length_a 6.326
_cell_length_b 6.326
_cell_length_c 6.326
_cell_angle_alpha 60.00
_cell_angle_beta 60.00
_cell_angle_gamma 60.00
_symmetry_space_group_name_H-M 'P 1'
_symmetry_Int_Tables_number 1
_symmetry_space_group_name_Hall 'P 1'
loop_
_atom_site_label
_atom_site_type_symbol
_atom_site_fract_x
_atom_site_fract_y
_atom_site_fract_z
Li1 Li 0.000 0.000 0.000
Ca1 Ca 0.250 0.250 0.250
Sb1 Sb 0.124 0.625 0.625
Sb2 Sb 0.625 0.124 0.625
Sb3 Sb 0.625 0.625 0.124
Sb4 Sb 0.625 0.625 0.625
# Crystal system: cubic
# M_tot (Bohr magnetons per cell): 0.0
# Formation energy (no corrections) (eV/atom): -0.160
# VASP energy (eV/atom): -3.561

---

(20)
# LiCa2SbSe4, relaxed, DFT PBE-GGA
data_LiCa2SbSe4
_cell_length_a 7.146
_cell_length_b 4.158
_cell_length_c 7.154
_cell_angle_alpha 90.00
_cell_angle_beta 108.71
_cell_angle_gamma 90.00
_symmetry_space_group_name_H-M 'P 1'
_symmetry_Int_Tables_number 1
_symmetry_space_group_name_Hall 'P 1'
loop_
_atom_site_label
_atom_site_type_symbol
_atom_site_fract_x
_atom_site_fract_y
_atom_site_fract_z
Li1 Li 0.000 0.000 0.000
Ca1 Ca 0.500 0.000 0.500
Ca2 Ca 0.500 0.500 0.000
Sb1 Sb 0.000 0.500 0.500
Se1 Se 0.238 0.000 0.751
Se2 Se 0.243 0.500 0.248
Se3 Se 0.757 0.500 0.752
Se4 Se 0.762 0.000 0.249
# Crystal system: monoclinic
# M_tot (Bohr magnetons per cell): 0.0
# Formation energy (no corrections) (eV/atom): -1.279
# VASP energy (eV/atom): -4.276